[1]
VASP calculation (PBE-GGA) on TbSm6Er2Mg after structural relaxation.

Geometry as POSCAR:
```
TbSm6Er2Mg
1.0
8.857 -1.936 -2.009
1.000 8.575 -1.991
1.000 -2.308 8.495
Er Sm Tb Mg
4 12 2 2
Direct
0.052 0.310 0.205 Er
0.448 0.795 0.690 Er
0.948 0.690 0.795 Er
0.552 0.205 0.310 Er
0.394 0.507 0.287 Sm
0.947 0.872 0.226 Sm
0.303 0.002 0.437 Sm
0.053 0.128 0.774 Sm
0.106 0.713 0.493 Sm
0.606 0.493 0.713 Sm
0.447 0.226 0.872 Sm
0.803 0.437 0.002 Sm
0.894 0.287 0.507 Sm
0.697 0.998 0.563 Sm
0.553 0.774 0.128 Sm
0.197 0.563 0.998 Sm
0.750 0.026 0.974 Tb
0.250 0.974 0.026 Tb
0.750 0.584 0.416 Mg
0.250 0.416 0.584 Mg
```

Values from the calculation:
As for the spin magnetization: 0.0 μB/cell. The symmetry is C2/c (15). The volume is 32.3 A^3/atom. Its formation energy is 0.12 eV/atom.

---

[2]
VASP calculation (PBE-GGA) on Tb2SmEr2Mg2 after structural relaxation.

Geometry as POSCAR:
```
Tb2SmEr2Mg2
1.0
-2.754 -1.505 -4.459
1.931 -3.984 -3.182
-4.309 -7.231 1.768
Er Sm Mg Tb
2 1 2 2
Direct
0.845 0.845 0.466 Er
0.155 0.155 0.534 Er
0.000 0.000 0.000 Sm
0.711 0.711 0.867 Mg
0.289 0.289 0.133 Mg
0.572 0.572 0.283 Tb
0.428 0.428 0.717 Tb
```

Values from the calculation:
As for the spin magnetization: 0.0 μB/cell. The symmetry is R-3m (166). The volume is 29.4 A^3/atom. Its formation energy is -0.03 eV/atom.

---

[3]
VASP calculation (PBE-GGA) on Tb3Sm6Er2Mg after structural relaxation.

Geometry as POSCAR:
```
Tb3Sm6Er2Mg
1.0
6.193 -0.003 0.006
-3.098 5.363 0.006
-1.048 -1.815 11.532
Sm Tb Er Mg
6 3 2 1
Direct
0.414 0.082 0.247 Sm
0.082 0.414 0.247 Sm
0.586 0.918 0.753 Sm
0.918 0.586 0.753 Sm
0.749 0.749 0.248 Sm
0.251 0.251 0.752 Sm
0.500 0.500 0.500 Tb
0.166 0.834 0.500 Tb
0.834 0.166 0.500 Tb
0.666 0.334 0.000 Er
0.334 0.666 0.000 Er
0.000 0.000 0.000 Mg
```

Values from the calculation:
As for the spin magnetization: 0.0 μB/cell. The symmetry is C2/m (12). The volume is 31.9 A^3/atom. Its formation energy is 0.02 eV/atom.

---

[4]
VASP calculation (PBE-GGA) on Tb4Sm2ErMg after structural relaxation.

Geometry as POSCAR:
```
Tb4Sm2ErMg
1.0
4.976 0.000 0.000
0.000 4.879 1.026
0.000 2.811 10.877
Tb Er Mg Sm
4 1 1 2
Direct
0.500 0.751 0.249 Tb
0.500 0.249 0.751 Tb
0.000 0.251 0.249 Tb
0.000 0.749 0.751 Tb
0.000 0.500 0.500 Er
0.500 0.500 0.000 Mg
0.500 0.000 0.500 Sm
0.000 0.000 0.000 Sm
```

Values from the calculation:
As for the spin magnetization: 0.0 μB/cell. The symmetry is P4/mmm (123). The volume is 31.2 A^3/atom. Its formation energy is 0.02 eV/atom.

---

[5]
VASP calculation (PBE-GGA) on Tb2SmEr2Mg5 after structural relaxation.

Geometry as POSCAR:
```
Tb2SmEr2Mg5
1.0
-4.452 -2.171 1.195
3.136 -8.979 -4.627
4.077 -3.308 9.182
Tb Sm Mg Er
4 2 10 4
Direct
0.000 0.322 0.822 Tb
0.000 0.822 0.678 Tb
0.000 0.178 0.322 Tb
0.000 0.678 0.178 Tb
0.000 0.000 0.000 Sm
0.000 0.500 0.500 Sm
0.500 0.425 0.302 Mg
0.500 0.575 0.698 Mg
0.500 0.000 0.500 Mg
0.500 0.500 0.000 Mg
0.500 0.302 0.575 Mg
0.500 0.925 0.198 Mg
0.500 0.198 0.075 Mg
0.500 0.802 0.925 Mg
0.500 0.075 0.802 Mg
0.500 0.698 0.425 Mg
0.000 0.118 0.618 Er
0.000 0.882 0.382 Er
0.000 0.618 0.882 Er
0.000 0.382 0.118 Er
```

Values from the calculation:
As for the spin magnetization: 0.0 μB/cell. The symmetry is P4/mbm (127). The volume is 28.5 A^3/atom. Its formation energy is 0.07 eV/atom.

---

[6]
VASP calculation (PBE-GGA) on Tb2Sm2ErMg2 after structural relaxation.

Geometry as POSCAR:
```
Tb2Sm2ErMg2
1.0
5.469 0.000 0.000
2.735 4.736 0.000
2.735 1.579 8.058
Tb Sm Mg Er
2 2 2 1
Direct
0.574 0.574 0.278 Tb
0.426 0.426 0.722 Tb
0.155 0.155 0.534 Sm
0.845 0.845 0.466 Sm
0.290 0.290 0.129 Mg
0.710 0.710 0.871 Mg
0.000 0.000 0.000 Er
```

Values from the calculation:
As for the spin magnetization: 0.0 μB/cell. The symmetry is R-3m (166). The volume is 29.8 A^3/atom. Its formation energy is -0.01 eV/atom.